1.
Below is crystalline Ti2InSe at its relaxed geometry, with properties calculated at the PBE-GGA level.

Summary:
N(E_F) (states/eV/cell): 5.62
Energy relative to the lowest polymorph listed for this composition (kJ per mole of atoms): 35.99
Symmetry: Fm-3m
Uncorrected formation energy (meV per atom): -106.2

Cell lengths 4.7086, 4.7086, 4.7086 Å; angles 60.00, 60.00, 60.00 degrees
Atoms (fractional coordinates):
Se1 0.0000 0.0000 0.0000
In1 0.5000 0.5000 0.5000
Ti1 0.2500 0.2500 0.2500
Ti2 0.7500 0.7500 0.7500

2.
Below is crystalline TiIn3Se at its relaxed geometry, with properties calculated at the PBE-GGA level.

Summary:
N(E_F) (states/eV/cell): 9.33
Energy relative to the lowest polymorph listed for this composition (kJ per mole of atoms): 0.00
Symmetry: Pm-3m
Uncorrected formation energy (meV per atom): 558.9

Cell lengths 5.4508, 5.4508, 5.4508 Å; angles 90.00, 90.00, 90.00 degrees
Atoms (fractional coordinates):
In1 0.0000 0.0000 0.5000
Se1 0.5000 0.5000 0.5000
Ti1 0.0000 0.0000 0.0000
In2 0.0000 0.5000 0.0000
In3 0.5000 0.0000 0.0000

3.
Below is crystalline Ti2InSe2 at its relaxed geometry, with properties calculated at the PBE-GGA level.

Summary:
N(E_F) (states/eV/cell): 4.93
Energy relative to the lowest polymorph listed for this composition (kJ per mole of atoms): 0.00
Symmetry: I4/mmm
Uncorrected formation energy (meV per atom): -598.1

Cell lengths 4.0377, 4.0377, 7.6707 Å; angles 74.74, 74.74, 90.00 degrees
Atoms (fractional coordinates):
In1 0.0000 0.0000 0.0000
Ti1 0.7500 0.2500 0.5000
Se1 0.6376 0.6376 0.7247
Ti2 0.2500 0.7500 0.5000
Se2 0.3624 0.3624 0.2753

4.
Below is crystalline Ti2InSe2 at its relaxed geometry, with properties calculated at the PBE-GGA level.

Summary:
N(E_F) (states/eV/cell): 8.33
Energy relative to the lowest polymorph listed for this composition (kJ per mole of atoms): 1.32
Symmetry: P4/mbm
Uncorrected formation energy (meV per atom): -584.5

Cell lengths 7.4922, 7.4922, 3.3165 Å; angles 90.00, 90.00, 90.00 degrees
Atoms (fractional coordinates):
Ti1 0.8573 0.6427 0.0000
In1 0.5000 0.5000 0.0000
Se1 0.8565 0.3565 0.5000
Ti2 0.6427 0.1427 0.0000
In2 0.0000 0.0000 0.0000
Se2 0.3565 0.1435 0.5000
Ti3 0.1427 0.3573 0.0000
Se3 0.1435 0.6435 0.5000
Ti4 0.3573 0.8573 0.0000
Se4 0.6435 0.8565 0.5000

5.
Below is crystalline TiInSe2 at its relaxed geometry, with properties calculated at the PBE-GGA level.

Summary:
N(E_F) (states/eV/cell): 2.55
Symmetry: R3m
Uncorrected formation energy (meV per atom): -834.7

Cell lengths 3.5693, 3.5693, 8.6645 Å; angles 78.11, 78.11, 60.00 degrees
Atoms (fractional coordinates):
Se1 0.2710 0.2710 0.1869
In1 0.5020 0.5020 0.4940
Se2 0.0609 0.0609 0.8173
Ti1 0.6660 0.6660 0.0019

6.
Below is crystalline Ti3In2Se6 at its relaxed geometry, with properties calculated at the PBE-GGA level.

Summary:
N(E_F) (states/eV/cell): 6.40
Symmetry: C2/m
Uncorrected formation energy (meV per atom): -916.1

Cell lengths 6.2695, 6.2735, 8.1067 Å; angles 82.53, 74.92, 60.02 degrees
Atoms (fractional coordinates):
Se1 0.9324 0.6677 0.1978
Se2 0.0676 0.3323 0.8022
Se3 0.6001 0.3323 0.1978
Se4 0.7316 0.0000 0.8040
In1 0.1656 0.6689 0.5000
Ti1 0.6698 0.6603 0.0000
Ti2 0.3302 0.3397 0.0000
In2 0.8344 0.3311 0.5000
Ti3 0.0000 0.0000 0.0000
Se5 0.2684 0.0000 0.1960
Se6 0.3999 0.6677 0.8022

7.
Below is crystalline TiIn3Se at its relaxed geometry, with properties calculated at the PBE-GGA level.

Summary:
N(E_F) (states/eV/cell): 13.03
Energy relative to the lowest polymorph listed for this composition (kJ per mole of atoms): 25.56
Symmetry: Pm-3m
Uncorrected formation energy (meV per atom): 823.8

Cell lengths 5.3378, 5.3378, 5.3378 Å; angles 90.00, 90.00, 90.00 degrees
Atoms (fractional coordinates):
In1 0.5000 0.0000 0.0000
Ti1 0.5000 0.5000 0.5000
Se1 0.0000 0.0000 0.0000
In2 0.0000 0.0000 0.5000
In3 0.0000 0.5000 0.0000

8.
Below is crystalline TiInSe2 at its relaxed geometry, with properties calculated at the PBE-GGA level.

Summary:
N(E_F) (states/eV/cell): 9.97
Symmetry: I-42d
Uncorrected formation energy (meV per atom): -588.1

Cell lengths 7.3385, 7.3385, 6.7898 Å; angles 57.29, 57.29, 90.00 degrees
Atoms (fractional coordinates):
Se1 0.3750 0.4546 0.7500
Se2 0.5454 0.1250 0.2500
Ti1 0.2500 0.7500 0.5000
In1 0.0000 0.0000 0.0000
Se3 0.2046 0.6250 0.2500
Ti2 0.5000 0.5000 0.0000
Se4 0.8750 0.7954 0.7500
In2 0.7500 0.2500 0.5000

9.
Below is crystalline Ti2InSe at its relaxed geometry, with properties calculated at the PBE-GGA level.

Summary:
N(E_F) (states/eV/cell): 3.69
Energy relative to the lowest polymorph listed for this composition (kJ per mole of atoms): 2.57
Symmetry: R-3m
Uncorrected formation energy (meV per atom): -452.5

Cell lengths 3.5390, 3.5390, 7.4930 Å; angles 76.34, 76.34, 60.00 degrees
Atoms (fractional coordinates):
Ti1 0.2670 0.2670 0.1990
Ti2 0.7330 0.7330 0.8010
Se1 0.0000 0.0000 0.0000
In1 0.5000 0.5000 0.5000

10.
Below is crystalline Ti2InSe at its relaxed geometry, with properties calculated at the PBE-GGA level.

Summary:
N(E_F) (states/eV/cell): 7.15
Energy relative to the lowest polymorph listed for this composition (kJ per mole of atoms): 51.68
Symmetry: I-42d
Uncorrected formation energy (meV per atom): 56.5

Cell lengths 4.1223, 4.1223, 10.0770 Å; angles 78.20, 78.20, 90.00 degrees
Atoms (fractional coordinates):
Ti1 0.6134 0.1250 0.2500
Se1 0.5000 0.5000 0.0000
Ti2 0.8750 0.8634 0.7500
Se2 0.2500 0.7500 0.5000
In1 0.0000 0.0000 0.0000
Ti3 0.1366 0.6250 0.2500
Ti4 0.3750 0.3866 0.7500
In2 0.7500 0.2500 0.5000

11.
Below is crystalline TiIn3Se4 at its relaxed geometry, with properties calculated at the PBE-GGA level.

Summary:
N(E_F) (states/eV/cell): 5.20
Symmetry: Pmn2_1
Uncorrected formation energy (meV per atom): -550.0

Cell lengths 6.2040, 6.5016, 11.4926 Å; angles 90.00, 90.00, 90.00 degrees
Atoms (fractional coordinates):
In1 0.5900 0.2172 0.7512
In2 0.0900 0.7828 0.7488
In3 0.0655 0.3175 0.5000
Se1 0.5717 0.7608 0.3011
Ti1 0.9843 0.1244 0.0000
Se2 0.5486 0.2452 0.5000
Ti2 0.4843 0.8756 0.5000
Se3 0.0935 0.8536 0.5000
In4 0.5655 0.6825 0.0000
Se4 0.5935 0.1464 0.0000
Se5 0.0717 0.2392 0.1989
Se6 0.0717 0.2392 0.8011
In5 0.5900 0.2172 0.2488
Se7 0.5717 0.7608 0.6989
Se8 0.0486 0.7548 0.0000
In6 0.0900 0.7828 0.2512

12.
Below is crystalline Ti2InSe at its relaxed geometry, with properties calculated at the PBE-GGA level.

Summary:
N(E_F) (states/eV/cell): 3.66
Energy relative to the lowest polymorph listed for this composition (kJ per mole of atoms): 0.00
Symmetry: R3m
Uncorrected formation energy (meV per atom): -479.1

Cell lengths 3.4324, 3.4324, 7.8298 Å; angles 77.34, 77.34, 60.00 degrees
Atoms (fractional coordinates):
Ti1 0.2651 0.2651 0.2048
In1 0.4994 0.4994 0.5017
Se1 0.6669 0.6669 0.9994
Ti2 0.0686 0.0686 0.7941

13.
Below is crystalline Ti3InSe6 at its relaxed geometry, with properties calculated at the PBE-GGA level.

Summary:
N(E_F) (states/eV/cell): 7.50
Symmetry: P2_1/m
Uncorrected formation energy (meV per atom): -962.8

Cell lengths 3.5658, 11.5681, 11.4353 Å; angles 106.95, 90.00, 90.00 degrees
Atoms (fractional coordinates):
Se1 0.7500 0.1398 0.0484
Se2 0.2500 0.6472 0.1376
Ti1 0.2500 0.0358 0.1477
Ti2 0.2500 0.2700 0.7011
Se3 0.7500 0.5330 0.3662
Ti3 0.7500 0.9642 0.8523
In1 0.7500 0.6199 0.8887
Se4 0.2500 0.0601 0.7574
Se5 0.2500 0.2487 0.3205
Se6 0.7500 0.9399 0.2426
Se7 0.2500 0.4670 0.6338
Se8 0.2500 0.8346 0.4543
Se9 0.7500 0.3528 0.8624
Se10 0.2500 0.8602 0.9516
Ti4 0.2500 0.6484 0.5254
Ti5 0.7500 0.3516 0.4746
Se11 0.7500 0.1654 0.5457
Se12 0.7500 0.7513 0.6795
In2 0.2500 0.3801 0.1113
Ti6 0.7500 0.7300 0.2989

14.
Below is crystalline TiTl2InSe5 at its relaxed geometry, with properties calculated at the PBE-GGA level.

Summary:
N(E_F) (states/eV/cell): 5.03
Symmetry: Cmc2_1
Uncorrected formation energy (meV per atom): -596.4

Cell lengths 3.8943, 9.4760, 14.0063 Å; angles 90.00, 90.00, 101.86 degrees
Atoms (fractional coordinates):
In1 0.4207 0.8414 0.4349
Ti1 0.7620 0.5240 0.5297
Se1 0.2673 0.5347 0.6546
Se2 0.3678 0.7355 0.0042
Se3 0.6322 0.2645 0.5042
Tl1 0.1234 0.2468 0.3042
Se4 0.2798 0.5596 0.4025
Se5 0.4854 0.9707 0.2724
Se6 0.9180 0.8361 0.5579
Se7 0.5146 0.0293 0.7724
Se8 0.0820 0.1639 0.0579
In2 0.5793 0.1586 0.9349
Tl2 0.8766 0.7532 0.8042
Ti2 0.2380 0.4760 0.0297
Se9 0.7327 0.4653 0.1546
Se10 0.7202 0.4404 0.9025
Tl3 0.8918 0.7835 0.1635
Tl4 0.1082 0.2165 0.6635

15.
Below is crystalline TiTl2InSe at its relaxed geometry, with properties calculated at the PBE-GGA level.

Summary:
N(E_F) (states/eV/cell): 3.35
Symmetry: P4/mmm
Uncorrected formation energy (meV per atom): 48.3

Cell lengths 5.9267, 4.9756, 5.9267 Å; angles 90.00, 90.00, 90.00 degrees
Atoms (fractional coordinates):
Ti1 0.0000 0.0000 0.0000
Tl1 0.5000 0.0000 0.0000
Se1 0.0000 0.5000 0.0000
Tl2 0.0000 0.0000 0.5000
In1 0.5000 0.5000 0.5000

16.
Below is crystalline U3TiIn3Se8 at its relaxed geometry, with properties calculated at the PBE-GGA level.

Summary:
N(E_F) (states/eV/cell): 13.92
Symmetry: R-3m
Uncorrected formation energy (meV per atom): -881.0

Cell lengths 7.9467, 7.9466, 9.1790 Å; angles 115.65, 90.00, 120.00 degrees
Atoms (fractional coordinates):
In1 0.5000 0.5000 0.0000
In2 0.0000 0.5000 0.0000
Se1 0.7537 0.9776 0.7015
U1 0.5000 0.0000 0.5000
Se2 0.7390 0.4780 0.7169
U2 0.0000 0.5000 0.5000
Se3 0.2463 0.0223 0.2985
U3 0.5000 0.5000 0.5000
Se4 0.7761 0.5521 0.2985
Se5 0.2239 0.4479 0.7015
Se6 0.7761 0.0223 0.2984
Ti1 0.0000 0.0000 0.5000
In3 0.0000 0.0000 0.0000
Se7 0.2610 0.5220 0.2831
Se8 0.2239 0.9777 0.7016

17.
Below is crystalline Zr3TiIn3Se8 at its relaxed geometry, with properties calculated at the PBE-GGA level.

Summary:
N(E_F) (states/eV/cell): 8.14
Symmetry: R-3m
Uncorrected formation energy (meV per atom): -989.6

Cell lengths 7.4868, 7.4867, 9.1495 Å; angles 114.15, 90.02, 120.00 degrees
Atoms (fractional coordinates):
Zr1 0.0000 0.5000 0.5000
Se1 0.2643 0.5287 0.2932
In1 0.0000 0.5000 0.0000
Ti1 0.0000 0.0000 0.5000
Se2 0.7716 0.0278 0.2997
Se3 0.7438 0.9721 0.7002
Zr2 0.5000 0.5000 0.5000
Se4 0.2285 0.4569 0.7003
Se5 0.7715 0.5431 0.2997
Se6 0.7357 0.4713 0.7068
Se7 0.2284 0.9722 0.7003
Se8 0.2562 0.0279 0.2998
In2 0.0000 0.0000 0.0000
In3 0.5000 0.5000 0.0000
Zr3 0.5000 0.0000 0.5000

18.
Below is crystalline TlInSe at its relaxed geometry, with properties calculated at the PBE-GGA level.

Summary:
Energy relative to the lowest polymorph listed for this composition (kJ per mole of atoms): 12.74
Symmetry: F-43m
Uncorrected formation energy (meV per atom): -210.2

Cell lengths 5.2657, 5.2657, 5.2657 Å; angles 60.00, 60.00, 60.00 degrees
Atoms (fractional coordinates):
Tl1 0.0000 0.0000 0.0000
In1 0.5000 0.5000 0.5000
Se1 0.7500 0.7500 0.7500

19.
Below is crystalline TlIn2Se at its relaxed geometry, with properties calculated at the PBE-GGA level.

Summary:
N(E_F) (states/eV/cell): 1.66
Symmetry: R3m
Uncorrected formation energy (meV per atom): -192.1

Cell lengths 3.9828, 3.9828, 8.8916 Å; angles 77.06, 77.06, 60.00 degrees
Atoms (fractional coordinates):
In1 0.0711 0.0711 0.7868
Tl1 0.4988 0.4988 0.5036
Se1 0.6678 0.6678 0.9965
In2 0.2623 0.2623 0.2130

20.
Below is crystalline Tl2InSe4 at its relaxed geometry, with properties calculated at the PBE-GGA level.

Summary:
N(E_F) (states/eV/cell): 2.40
Symmetry: P-42m
Uncorrected formation energy (meV per atom): -295.2

Cell lengths 6.4265, 6.4265, 5.6757 Å; angles 90.00, 90.00, 90.00 degrees
Atoms (fractional coordinates):
Se1 0.7409 0.7409 0.2113
Se2 0.2591 0.7409 0.7887
Se3 0.7409 0.2591 0.7887
Tl1 0.0000 0.5000 0.5000
Se4 0.2591 0.2591 0.2113
Tl2 0.5000 0.0000 0.5000
In1 0.0000 0.0000 0.0000

21.
Below is crystalline TlIn2Se at its relaxed geometry, with properties calculated at the PBE-GGA level.

Summary:
N(E_F) (states/eV/cell): 1.13
Symmetry: C2/m
Uncorrected formation energy (meV per atom): -137.6

Cell lengths 6.3352, 6.3352, 4.5559 Å; angles 69.87, 69.87, 120.72 degrees
Atoms (fractional coordinates):
Se1 0.5000 0.0000 0.5000
In1 0.5000 0.5000 0.0000
In2 0.0000 0.0000 0.0000
Tl1 0.0000 0.5000 0.5000

22.
Below is crystalline TlIn4Se7 at its relaxed geometry, with properties calculated at the PBE-GGA level.

Summary:
N(E_F) (states/eV/cell): 6.11
Symmetry: Pmn2_1
Uncorrected formation energy (meV per atom): -445.6

Cell lengths 6.7346, 7.3112, 15.5603 Å; angles 90.00, 90.00, 90.00 degrees
Atoms (fractional coordinates):
Se1 0.4327 0.3432 0.1006
In1 0.0949 0.3325 0.3758
Se2 0.4825 0.3656 0.3728
In2 0.0776 0.8208 0.2629
In3 0.0949 0.3325 0.6242
In4 0.0776 0.8208 0.7371
Se3 0.4771 0.8328 0.7302
Se4 0.4825 0.3656 0.6272
In5 0.5776 0.1792 0.7629
In6 0.5949 0.6675 0.8758
Se5 0.4771 0.8328 0.2698
In7 0.5949 0.6675 0.1242
Se6 0.9825 0.6344 0.8728
Se7 0.9327 0.6568 0.6006
Se8 0.5026 0.8902 0.0000
Tl1 0.5226 0.0245 0.5000
Se9 0.4327 0.3432 0.8994
Se10 0.0026 0.1098 0.5000
Se11 0.9327 0.6568 0.3994
In8 0.5776 0.1792 0.2371
Se12 0.9771 0.1672 0.2302
Tl2 0.0226 0.9755 0.0000
Se13 0.9771 0.1672 0.7698
Se14 0.9825 0.6344 0.1272

23.
Below is crystalline TlIn2Se4 at its relaxed geometry, with properties calculated at the PBE-GGA level.

Summary:
N(E_F) (states/eV/cell): 2.90
Symmetry: P-42m
Uncorrected formation energy (meV per atom): -426.3

Cell lengths 5.8838, 5.8838, 6.7448 Å; angles 90.00, 90.00, 90.00 degrees
Atoms (fractional coordinates):
In1 0.0000 0.5000 0.5000
In2 0.5000 0.0000 0.5000
Tl1 0.0000 0.0000 0.0000
Se1 0.7201 0.7201 0.2608
Se2 0.2799 0.2799 0.2608
Se3 0.7201 0.2799 0.7392
Se4 0.2799 0.7201 0.7392